Run a
BaNbS2Cl | GGA-PBE | optimized geometry

a b c (Å): 5.778 5.778 5.613
angles (deg): 90.00 90.00 90.00
Atoms (fractional coordinates):
Ba 0.000 0.000 0.000
Nb 0.500 0.500 0.500
S 0.000 0.500 0.000
S 0.500 0.000 0.000
Cl 0.000 0.000 0.500

Summary:
The space-group type is P4/mmm (123).

=====

Run b
BaNbS2Cl | GGA-PBE | optimized geometry

a b c (Å): 4.899 4.899 5.024
angles (deg): 90.00 90.00 90.00
Atoms (fractional coordinates):
Ba 0.000 0.000 0.000
Nb 0.500 0.500 0.500
S 0.000 0.500 0.500
S 0.500 0.000 0.500
Cl 0.500 0.500 0.000

Summary:
The space-group type is P4/mmm (123).

=====

Which is most stable, and by how much? run b, by 1887 meV per atom.

=====

Run a
Ba2NiCl | GGA-PBE | optimized geometry

a b c (Å): 4.576 4.576 6.404
angles (deg): 90.00 90.00 90.00
Atoms (fractional coordinates):
Ba 0.000 0.000 0.000
Ba 0.500 0.500 0.500
Ni 0.000 0.000 0.498
Cl 0.500 0.500 0.000

Summary:
The space-group type is P4mm (99).

=====

Run b
Ba2NiCl | GGA-PBE | optimized geometry

a b c (Å): 8.699 8.699 8.699
angles (deg): 153.33 152.63 38.58
Atoms (fractional coordinates):
Ba 0.000 0.000 0.000
Ba 0.726 0.226 0.500
Ni 0.588 0.588 0.000
Cl 0.330 0.830 0.500

Summary:
The space-group type is Imm2 (44).

=====

Which is most stable, and by how much? run a, by 78 meV per atom.

=====

Run a
Ba2NiCl | GGA-PBE | optimized geometry

a b c (Å): 3.813 3.813 8.309
angles (deg): 90.00 90.00 90.00
Atoms (fractional coordinates):
Ba 0.000 0.000 0.224
Ba 0.000 0.000 0.776
Ni 0.500 0.500 0.000
Cl 0.500 0.500 0.500

Summary:
The space-group type is P4/mmm (123).

=====

Run b
Ba2NiCl | GGA-PBE | optimized geometry

a b c (Å): 5.494 5.494 5.494
angles (deg): 60.00 60.00 60.00
Atoms (fractional coordinates):
Ba 0.000 0.000 0.000
Ba 0.250 0.250 0.250
Ni 0.750 0.750 0.750
Cl 0.500 0.500 0.500

Summary:
The space-group type is F-43m (216).

=====

Which is most stable, and by how much? run a, by 685 meV per atom.

=====

Run a
Ba2NiCl | GGA-PBE | optimized geometry

a b c (Å): 5.544 5.544 5.544
angles (deg): 60.00 60.00 60.00
Atoms (fractional coordinates):
Ba 0.250 0.250 0.250
Ba 0.750 0.750 0.750
Ni 0.000 0.000 0.000
Cl 0.500 0.500 0.500

Summary:
The space-group type is Fm-3m (225).

=====

Run b
Ba2NiCl | GGA-PBE | optimized geometry

a b c (Å): 5.020 6.555 6.555
angles (deg): 36.40 90.00 90.00
Atoms (fractional coordinates):
Ba 0.000 0.000 0.000
Ba 0.500 0.259 0.259
Ni 0.000 0.761 0.761
Cl 0.500 0.517 0.517

Summary:
The space-group type is Amm2 (38).

=====

Which is most stable, and by how much? run b, by 90 meV per atom.

=====

Run a
Ba2NiCl | GGA-PBE | optimized geometry

a b c (Å): 7.394 7.394 7.394
angles (deg): 114.43 114.43 99.96
Atoms (fractional coordinates):
Ba 0.105 0.625 0.980
Ba 0.375 0.355 0.480
Ba 0.645 0.125 0.020
Ba 0.875 0.895 0.520
Ni 0.000 0.000 0.000
Ni 0.750 0.250 0.500
Cl 0.250 0.750 0.500
Cl 0.500 0.500 0.000

Summary:
The space-group type is I-42d (122).

=====

Run b
Ba2NiCl | GGA-PBE | optimized geometry

a b c (Å): 8.642 8.642 8.642
angles (deg): 29.41 29.41 29.41
Atoms (fractional coordinates):
Ba 0.000 0.000 0.000
Ba 0.188 0.188 0.188
Ni 0.594 0.594 0.594
Cl 0.426 0.426 0.426

Summary:
The space-group type is R3m (160).

=====

Which is most stable, and by how much? run b, by 169 meV per atom.

=====

Run a
BaNiCl3 | GGA-PBE | optimized geometry

a b c (Å): 5.965 5.965 5.965
angles (deg): 90.00 90.00 90.00
Atoms (fractional coordinates):
Ba 0.000 0.000 0.000
Ni 0.500 0.500 0.500
Cl 0.000 0.000 0.500
Cl 0.000 0.500 0.000
Cl 0.500 0.000 0.000

Summary:
The space-group type is Pm-3m (221).

=====

Run b
BaNiCl3 | GGA-PBE | optimized geometry

a b c (Å): 6.968 6.968 5.468
angles (deg): 90.00 90.00 120.00
Atoms (fractional coordinates):
Ba 0.333 0.667 0.000
Ba 0.667 0.333 0.500
Ni 0.000 0.000 0.248
Ni 0.000 0.000 0.748
Cl 0.173 0.345 0.500
Cl 0.173 0.827 0.500
Cl 0.345 0.173 0.000
Cl 0.655 0.827 0.500
Cl 0.827 0.173 0.000
Cl 0.827 0.655 0.000

Summary:
The space-group type is P6_3mc (186).

=====

Which is most stable, and by how much? run b, by 760 meV per atom.

=====

Run a
BaNi3Cl | GGA-PBE | optimized geometry

a b c (Å): 4.521 4.521 4.521
angles (deg): 90.00 90.00 90.00
Atoms (fractional coordinates):
Ba 0.000 0.000 0.000
Ni 0.000 0.500 0.500
Ni 0.500 0.000 0.500
Ni 0.500 0.500 0.000
Cl 0.500 0.500 0.500

Summary:
The space-group type is Pm-3m (221).

=====

Run b
BaNi3Cl | GGA-PBE | optimized geometry

a b c (Å): 5.079 5.079 5.079
angles (deg): 90.00 90.00 90.00
Atoms (fractional coordinates):
Ba 0.000 0.000 0.000
Ni 0.000 0.000 0.500
Ni 0.000 0.500 0.000
Ni 0.500 0.000 0.000
Cl 0.500 0.500 0.500

Summary:
The space-group type is Pm-3m (221).

=====

Which is most stable, and by how much? run a, by 1254 meV per atom.

=====

Run a
BaNiS2Cl | GGA-PBE | optimized geometry

a b c (Å): 6.008 6.008 5.821
angles (deg): 90.00 90.00 90.00
Atoms (fractional coordinates):
Ba 0.000 0.000 0.000
Ni 0.500 0.500 0.500
S 0.000 0.500 0.000
S 0.500 0.000 0.000
Cl 0.000 0.000 0.500

Summary:
The space-group type is P4/mmm (123).

=====

Run b
BaNiS2Cl | GGA-PBE | optimized geometry

a b c (Å): 4.636 4.636 4.931
angles (deg): 90.00 90.00 90.00
Atoms (fractional coordinates):
Ba 0.000 0.000 0.000
Ni 0.500 0.500 0.500
S 0.000 0.500 0.500
S 0.500 0.000 0.500
Cl 0.500 0.500 0.000

Summary:
The space-group type is P4/mmm (123).

=====

Which is most stable, and by how much? run b, by 1496 meV per atom.

=====

Run a
Ba2NpCl8 | GGA-PBE | optimized geometry

a b c (Å): 8.871 8.871 8.871
angles (deg): 148.12 124.04 65.86
Atoms (fractional coordinates):
Ba 0.178 0.178 0.000
Ba 0.822 0.822 0.000
Np 0.500 0.500 0.000
Cl 0.107 0.348 0.760
Cl 0.181 0.000 0.181
Cl 0.395 0.895 0.500
Cl 0.412 0.652 0.760
Cl 0.588 0.348 0.240
Cl 0.605 0.105 0.500
Cl 0.819 0.000 0.819
Cl 0.893 0.652 0.240

Summary:
The space-group type is Immm (71).

=====

Run b
Ba2NpCl8 | GGA-PBE | optimized geometry

a b c (Å): 10.540 10.540 6.607
angles (deg): 102.94 102.94 26.63
Atoms (fractional coordinates):
Ba 0.167 0.167 0.161
Ba 0.833 0.833 0.839
Np 0.500 0.500 0.500
Cl 0.019 0.019 0.290
Cl 0.234 0.234 0.770
Cl 0.376 0.376 0.571
Cl 0.416 0.416 0.119
Cl 0.584 0.584 0.881
Cl 0.624 0.624 0.429
Cl 0.766 0.766 0.230
Cl 0.981 0.981 0.710

Summary:
The space-group type is C2/m (12).

=====

Which is most stable, and by how much? run b, by 207 meV per atom.

=====

Run a
Ba3Cl2O2 | GGA-PBE | optimized geometry

a b c (Å): 12.537 6.435 10.773
angles (deg): 90.00 90.00 90.00
Atoms (fractional coordinates):
Ba 0.032 0.250 0.195
Ba 0.086 0.250 0.548
Ba 0.204 0.750 0.339
Ba 0.296 0.250 0.839
Ba 0.414 0.750 0.048
Ba 0.468 0.750 0.695
Ba 0.532 0.250 0.305
Ba 0.586 0.250 0.952
Ba 0.704 0.750 0.161
Ba 0.796 0.250 0.661
Ba 0.914 0.750 0.452
Ba 0.968 0.750 0.805
Cl 0.135 0.750 0.043
Cl 0.209 0.750 0.656
Cl 0.291 0.250 0.156
Cl 0.365 0.250 0.543
Cl 0.635 0.750 0.457
Cl 0.709 0.750 0.844
Cl 0.791 0.250 0.344
Cl 0.865 0.250 0.957
O 0.063 0.502 0.363
O 0.063 0.998 0.363
O 0.437 0.002 0.863
O 0.437 0.498 0.863
O 0.563 0.502 0.137
O 0.563 0.998 0.137
O 0.937 0.002 0.637
O 0.937 0.498 0.637

Summary:
The space-group type is Pnma (62).

=====

Run b
Ba3Cl2O2 | GGA-PBE | optimized geometry

a b c (Å): 7.590 8.055 7.792
angles (deg): 90.00 117.43 90.00
Atoms (fractional coordinates):
Ba 0.000 0.000 0.000
Ba 0.000 0.500 0.500
Ba 0.382 0.110 0.760
Ba 0.382 0.390 0.260
Ba 0.618 0.610 0.740
Ba 0.618 0.890 0.240
Cl 0.155 0.658 0.918
Cl 0.155 0.842 0.418
Cl 0.845 0.158 0.582
Cl 0.845 0.342 0.082
O 0.346 0.113 0.073
O 0.346 0.387 0.573
O 0.654 0.613 0.427
O 0.654 0.887 0.927

Summary:
The space-group type is P2_1/c (14).

=====

Run c
Ba3Cl2O2 | GGA-PBE | optimized geometry

a b c (Å): 19.462 6.422 7.428
angles (deg): 90.00 90.00 90.00
Atoms (fractional coordinates):
Ba 0.020 0.250 0.159
Ba 0.104 0.250 0.691
Ba 0.158 0.750 0.076
Ba 0.342 0.250 0.576
Ba 0.396 0.750 0.191
Ba 0.480 0.750 0.659
Ba 0.520 0.250 0.341
Ba 0.604 0.250 0.809
Ba 0.658 0.750 0.424
Ba 0.842 0.250 0.924
Ba 0.896 0.750 0.309
Ba 0.980 0.750 0.841
Cl 0.054 0.750 0.421
Cl 0.204 0.250 0.339
Cl 0.296 0.750 0.839
Cl 0.446 0.250 0.921
Cl 0.554 0.750 0.079
Cl 0.704 0.250 0.161
Cl 0.796 0.750 0.661
Cl 0.946 0.250 0.579
O 0.081 0.501 0.930
O 0.081 0.999 0.930
O 0.419 0.001 0.430
O 0.419 0.499 0.430
O 0.581 0.501 0.570
O 0.581 0.999 0.570
O 0.919 0.001 0.070
O 0.919 0.499 0.070

Summary:
The space-group type is Pnma (62).

=====

Which is most stable, and by how much? run b, by 22 meV per atom.

=====

Run a
Ba3Cl2O2 | GGA-PBE | optimized geometry

a b c (Å): 13.762 6.423 10.615
angles (deg): 90.00 90.00 90.00
Atoms (fractional coordinates):
Ba 0.041 0.250 0.207
Ba 0.067 0.250 0.574
Ba 0.206 0.750 0.373
Ba 0.294 0.250 0.873
Ba 0.433 0.750 0.074
Ba 0.459 0.750 0.707
Ba 0.541 0.250 0.293
Ba 0.567 0.250 0.926
Ba 0.706 0.750 0.127
Ba 0.794 0.250 0.627
Ba 0.933 0.750 0.426
Ba 0.959 0.750 0.793
Cl 0.059 0.250 0.894
Cl 0.213 0.750 0.674
Cl 0.287 0.250 0.174
Cl 0.441 0.750 0.394
Cl 0.559 0.250 0.606
Cl 0.713 0.750 0.826
Cl 0.787 0.250 0.326
Cl 0.941 0.750 0.106
O 0.075 0.002 0.379
O 0.075 0.498 0.379
O 0.425 0.502 0.879
O 0.425 0.998 0.879
O 0.575 0.002 0.121
O 0.575 0.498 0.121
O 0.925 0.502 0.621
O 0.925 0.998 0.621

Summary:
The space-group type is Pnma (62).

=====

Run b
Ba3Cl2O2 | GGA-PBE | optimized geometry

a b c (Å): 9.059 9.059 13.841
angles (deg): 125.59 125.59 28.21
Atoms (fractional coordinates):
Ba 0.103 0.103 0.259
Ba 0.368 0.368 0.953
Ba 0.374 0.374 0.316
Ba 0.626 0.626 0.684
Ba 0.632 0.632 0.047
Ba 0.897 0.897 0.741
Cl 0.110 0.110 0.504
Cl 0.129 0.129 0.847
Cl 0.871 0.871 0.153
Cl 0.890 0.890 0.496
O 0.207 0.207 0.185
O 0.456 0.456 0.854
O 0.544 0.544 0.146
O 0.793 0.793 0.815

Summary:
The space-group type is C2/m (12).

=====

Which is most stable, and by how much? run b, by 30 meV per atom.